Entry 1:
# LiInGaCo | the Alexandria database | PBE-GGA | optimized geometry
data_LiInGaCo
_chemical_formula_sum 'Li4 In4 Ga4 Co4'
_cell_length_a 6.154
_cell_length_b 6.154
_cell_length_c 6.154
_cell_angle_alpha 90.00
_cell_angle_beta 90.00
_cell_angle_gamma 90.00
_space_group_name_H-M_alt 'F -4 3 m'
_space_group_IT_number 216
_space_group_name_Hall 'F -4 2 3'
loop_
_atom_site_label
_atom_site_type_symbol
_atom_site_fract_x
_atom_site_fract_y
_atom_site_fract_z
Li1 Li 0.000 0.000 0.000
In1 In 0.250 0.250 0.250
Ga1 Ga 0.250 0.250 0.750
Co1 Co 0.000 0.000 0.500
# - E_form: -0.150 eV/atom


Entry 2:
# VReH2 | the Alexandria database | PBE-GGA | optimized geometry
data_VReH2
_chemical_formula_sum 'V4 Re4 H8'
_cell_length_a 4.083
_cell_length_b 4.083
_cell_length_c 8.250
_cell_angle_alpha 90.00
_cell_angle_beta 90.00
_cell_angle_gamma 90.00
_space_group_name_H-M_alt 'I -4 2 d'
_space_group_IT_number 122
_space_group_name_Hall 'I -4 2bw'
loop_
_atom_site_label
_atom_site_type_symbol
_atom_site_fract_x
_atom_site_fract_y
_atom_site_fract_z
V1 V 0.000 0.000 0.000
Re1 Re 0.000 0.000 0.500
H1 H 0.237 0.250 0.125
# - ΔE to the lowest computed polymorph: 0.000 eV per atom


Number 1: calculated volume 14.57 A^3/atom. Number 2: calculated volume 8.60 A^3/atom.